# 1
Material: LiNd2ZnPt6
Method: DFT, PBE
State: optimized geometry

Calculated values
ΔE_f, kJ/mol of atoms: -67

CIF file:
```
data_LiNd2ZnPt6
_symmetry_space_group_name_H-M 'R -3 m'
_symmetry_Int_Tables_number 166
_symmetry_space_group_name_Hall '-R 3 2"'
_cell_length_a 5.5789
_cell_length_b 5.5789
_cell_length_c 23.4792
_cell_angle_alpha 90.00
_cell_angle_beta 90.00
_cell_angle_gamma 120.00
loop_
_atom_site_label
_atom_site_type_symbol
_atom_site_fract_x
_atom_site_fract_y
_atom_site_fract_z
Li1 Li 0.0000 0.0000 0.0000
Nd1 Nd 0.0000 0.0000 0.2980
Zn1 Zn 0.0000 0.0000 0.5000
Pt1 Pt 0.0054 0.5027 0.7492
```


# 2
Material: LiNd2ZnPt2
Method: DFT, PBE
State: optimized geometry

Calculated values
ΔE_f, kJ/mol of atoms: -80

CIF file:
```
data_LiNd2ZnPt2
_symmetry_space_group_name_H-M 'I b a m'
_symmetry_Int_Tables_number 72
_symmetry_space_group_name_Hall '-I 2 2c'
_cell_length_a 5.802
_cell_length_b 14.886
_cell_length_c 5.940
_cell_angle_alpha 90.00
_cell_angle_beta 90.00
_cell_angle_gamma 90.00
loop_
_atom_site_label
_atom_site_type_symbol
_atom_site_fract_x
_atom_site_fract_y
_atom_site_fract_z
Li1 Li 0.000 0.000 0.250
Nd1 Nd 0.241 0.168 0.000
Zn1 Zn 0.000 0.500 0.250
Pt1 Pt 0.241 0.377 0.000
```


# 3
Material: LiNd2Pu
Method: DFT, PBE
State: optimized geometry

Calculated values
ΔE_f, kJ/mol of atoms: 34
Energy relative to the lowest polymorph listed for this composition, eV/atom: 0.193

CIF file:
```
data_LiNd2Pu
_symmetry_space_group_name_H-M 'R -3 m'
_symmetry_Int_Tables_number 166
_symmetry_space_group_name_Hall '-R 3 2"'
_cell_length_a 3.4212
_cell_length_b 3.4212
_cell_length_c 36.4990
_cell_angle_alpha 90.00
_cell_angle_beta 90.00
_cell_angle_gamma 120.00
loop_
_atom_site_label
_atom_site_type_symbol
_atom_site_fract_x
_atom_site_fract_y
_atom_site_fract_z
Li1 Li 0.0000 0.0000 0.0000
Nd1 Nd 0.0000 0.0000 0.4096
Pu1 Pu 0.0000 0.0000 0.5000
```


# 4
Material: LiNd2Pu
Method: DFT, PBE
State: optimized geometry

Calculated values
ΔE_f, kJ/mol of atoms: 17
Energy relative to the lowest polymorph listed for this composition, eV/atom: 0.021

CIF file:
```
data_LiNd2Pu
_symmetry_space_group_name_H-M 'P 4/m m m'
_symmetry_Int_Tables_number 123
_symmetry_space_group_name_Hall '-P 4 2'
_cell_length_a 5.711
_cell_length_b 5.711
_cell_length_c 3.569
_cell_angle_alpha 90.00
_cell_angle_beta 90.00
_cell_angle_gamma 90.00
loop_
_atom_site_label
_atom_site_type_symbol
_atom_site_fract_x
_atom_site_fract_y
_atom_site_fract_z
Li1 Li 0.000 0.000 0.000
Nd1 Nd 0.000 0.500 0.500
Pu1 Pu 0.500 0.500 0.000
```


# 5
Material: LiNdPu
Method: DFT, PBE
State: optimized geometry

Calculated values
ΔE_f, kJ/mol of atoms: 9
Energy relative to the lowest polymorph listed for this composition, eV/atom: 0.000

CIF file:
```
data_LiNdPu
_symmetry_space_group_name_H-M 'C 1 m 1'
_symmetry_Int_Tables_number 8
_symmetry_space_group_name_Hall 'C -2y'
_cell_length_a 5.664
_cell_length_b 4.011
_cell_length_c 14.015
_cell_angle_alpha 90.00
_cell_angle_beta 92.69
_cell_angle_gamma 90.00
loop_
_atom_site_label
_atom_site_type_symbol
_atom_site_fract_x
_atom_site_fract_y
_atom_site_fract_z
Li1 Li 0.000 0.000 0.000
Li2 Li 0.053 0.500 0.852
Nd1 Nd 0.077 0.000 0.657
Nd2 Nd 0.484 0.000 0.195
Pu1 Pu 0.091 0.000 0.384
Pu2 Pu 0.470 0.000 0.468
```


# 6
Material: LiNdPu
Method: DFT, PBE
State: optimized geometry

Calculated values
ΔE_f, kJ/mol of atoms: 25
Energy relative to the lowest polymorph listed for this composition, eV/atom: 0.162

CIF file:
```
data_LiNdPu
_symmetry_space_group_name_H-M 'I 4 m m'
_symmetry_Int_Tables_number 107
_symmetry_space_group_name_Hall 'I 4 -2'
_cell_length_a 3.377
_cell_length_b 3.377
_cell_length_c 14.645
_cell_angle_alpha 90.00
_cell_angle_beta 90.00
_cell_angle_gamma 90.00
loop_
_atom_site_label
_atom_site_type_symbol
_atom_site_fract_x
_atom_site_fract_y
_atom_site_fract_z
Li1 Li 0.000 0.000 0.000
Nd1 Nd 0.000 0.000 0.667
Pu1 Pu 0.000 0.000 0.344
```


Number 1: magnetization 0.00 μB/f.u.. Number 2: magnetization 0.00 μB/f.u.. Number 3: magnetization 6.37 μB/f.u.. Number 4: magnetization 6.64 μB/f.u.. Number 5: magnetization 0.00 μB/f.u.. Number 6: magnetization 6.12 μB/f.u..